CsRb2HgF6, optimized geometry, DFT GGA-PBE; uncorrected formation energy = -2.079 eV/atom; ρ = 4.25 g/cm³; size of the total moment = 0.10 μB/atom
1.0
-4.492 5.361 -0.011
-5.335 -4.468 0.696
-4.542 0.768 5.263
Cs Hg Rb F
1 1 2 6
direct
0.500 0.500 0.000 Cs
0.000 0.000 0.000 Hg
0.750 0.250 0.500 Rb
0.250 0.750 0.500 Rb
0.224 0.224 0.552 F
0.776 0.776 0.448 F
0.224 0.224 0.000 F
0.776 0.776 0.000 F
0.776 0.224 0.000 F
0.224 0.776 0.000 F